Entry 1:
Below is an optimized crystal structure of CaTb2Be, with properties calculated at the GGA-PBE level.

a b c (Å): 3.5266 3.5266 9.0310
angles (deg): 90.00 90.00 90.00
Positions (direct):
Ca  0.0000  0.0000  0.0000
Tb  0.5000  0.5000  0.3236
Tb  0.5000  0.5000  0.6764
Be  0.0000  0.0000  0.5000

Values from the calculation:
Formation enthalpy at 0 K, eV per atom: 0.112
Density, g/cm3: 5.43
Total DFT energy (no corrections), eV/atom: -3.64

***

Entry 2:
Below is an optimized crystal structure of RbCrH2, with properties calculated at the GGA-PBE level.

a b c (Å): 4.0698 6.0870 6.6515
angles (deg): 113.29 99.30 98.94
Positions (direct):
Rb  0.1981  0.3387  0.1785
Rb  0.8019  0.6613  0.8215
Cr  0.3432  0.0211  0.5786
Cr  0.6568  0.9789  0.4214
H  0.0455  0.2217  0.5547
H  0.4170  0.8195  0.1484
H  0.5830  0.1805  0.8516
H  0.9545  0.7783  0.4453

Values from the calculation:
Energy above the most stable polymorph in this dataset, kJ/mol of atoms: 8.7
Density, g/cm3: 3.20
Total DFT energy (no corrections), eV/atom: -4.13

***

Entry 3:
Below is an optimized crystal structure of Cs3SiO4, with properties calculated at the GGA-PBE level.

a b c (Å): 6.4593 6.4593 6.4593
angles (deg): 119.38 93.53 116.60
Positions (direct):
Cs  0.0000  0.0000  0.0000
Cs  0.2510  0.4914  0.7596
Cs  0.7317  0.4914  0.2404
Si  0.4438  0.9438  0.5000
O  0.3039  0.0114  0.7075
O  0.3039  0.5963  0.2925
O  0.4295  0.0830  0.3465
O  0.7365  0.0830  0.6535

Values from the calculation:
Density, g/cm3: 4.16
Total DFT energy (no corrections), eV/atom: -5.38
Uncorrected formation energy, eV/atom: -1.901